Ba2TlInSe5 PBE-GGA relaxed; symmetry = Cmc2_1; formation energy (no corrections) = -10.1 eV per formula unit
1.0
-0.643 2.180 -3.654
-9.309 -4.044 1.760
-3.301 10.603 6.907
Ba Tl In Se
4 2 2 10
direct
0.879 0.758 0.798
0.113 0.226 0.681
0.121 0.242 0.298
0.887 0.774 0.181
0.769 0.539 0.522
0.231 0.461 0.022
0.562 0.125 0.950
0.438 0.875 0.450
0.363 0.726 0.991
0.687 0.375 0.878
0.503 0.006 0.774
0.281 0.561 0.667
0.959 0.917 0.562
0.637 0.274 0.491
0.313 0.625 0.378
0.497 0.994 0.274
0.719 0.439 0.167
0.041 0.083 0.062